Density functional theory data (PBE) for an optimized crystal structure of CaSbMo2.

Summary:
The value obtained for the energy is -6.368 eV/atom. The energy relative to the elements, uncorrected is 579 meV/atom.

Cell and atoms, written as extended XYZ:
```
8
Lattice="-2.6653 -1.6272 2.8863 1.6165 -3.8721 -0.6902 6.4169 -1.1547 8.4071" Properties=species:S:1:pos:R:3 pbc="T T T"
Ca 3.7545 -3.8882 4.4075
Mo 4.0456 -6.0387 8.1626
Mo 2.5298 -2.7605 1.7622
Sb 0.0000 0.0000 0.0000
Ca -0.5244 -2.7497 1.0981
Sb 1.6136 -2.7658 6.1957
Mo -0.1079 -1.9413 4.0884
Mo 4.2687 -2.5674 7.1932
```